DFT (PBE-GGA) results for a relaxed structure of Nd2Al3Ag2.

Cell and atoms, written as POSCAR:
```
Nd2Al3Ag2
1.0
4.2856 0.0000 -1.0217
0.0000 7.4868 0.0000
0.0962 0.0000 9.9021
Al Ag Nd
6 4 4
Direct
0.4411 0.5761 0.8821 Al
0.5589 0.0761 0.1179 Al
0.4411 0.9239 0.8821 Al
0.7754 0.2500 0.5509 Al
0.2246 0.7500 0.4491 Al
0.5589 0.4239 0.1179 Al
0.6890 0.9450 0.3781 Ag
0.3110 0.4450 0.6219 Ag
0.3110 0.0550 0.6219 Ag
0.6890 0.5550 0.3781 Ag
0.8434 0.7500 0.6867 Nd
0.9452 0.2500 0.8905 Nd
0.0548 0.7500 0.1095 Nd
0.1566 0.2500 0.3133 Nd
```

Output
ΔE to the lowest computed polymorph: 0.016 eV per atom
total magnetic moment: 0.00 μB per formula unit
formation energy from the elements: -0.352 eV/atom



DFT (PBE-GGA) results for a relaxed structure of Nd2Al2Ag.

Cell and atoms, written as POSCAR:
```
Nd2Al2Ag
1.0
4.6773 0.0000 0.0000
2.3387 5.4585 -0.2513
2.3387 0.4158 9.7675
Nd Ag Al
4 2 4
Direct
0.0808 0.7324 0.1061 Nd
0.9192 0.2676 0.8939 Nd
0.6842 0.3073 0.3242 Nd
0.3158 0.6927 0.6758 Nd
0.3733 0.9002 0.3532 Ag
0.6267 0.0998 0.6468 Ag
0.0800 0.2814 0.5585 Al
0.3725 0.1436 0.1114 Al
0.6275 0.8564 0.8886 Al
0.9200 0.7186 0.4415 Al
```

Output
total magnetic moment: 0.00 μB per formula unit
formation energy from the elements: -0.369 eV/atom